Compound: Ba2NdDyS4
Source: Alexandria via LeMat-Bulk
Functional: PBE
Structure: relaxed

a b c (Å): 7.233 4.180 7.544
angles (deg): 90.00 108.66 90.00
Positions (direct):
Ba (0.000, 0.000, 0.000)
Ba (0.500, 0.500, 0.000)
Nd (0.000, 0.500, 0.500)
Dy (0.500, 0.000, 0.500)
S (0.247, 0.000, 0.716)
S (0.270, 0.500, 0.288)
S (0.730, 0.500, 0.712)
S (0.753, 0.000, 0.284)

Calculated values
The calculation puts the volume at 27.014 Å³/atom. The value obtained for the total energy is -5.73 eV per atom. The density of states at the Fermi level is 3.64 states/eV/f.u. As for the raw formation energy: -2011 meV per atom.